GdAg4Pt: relaxed, PBE.

a b c (Å): 5.475 5.475 5.475
angles (deg): 60.00 60.00 60.00
Atoms (fractional coordinates):
Gd 0.000 0.000 0.000
Ag 0.126 0.625 0.625
Ag 0.625 0.126 0.625
Ag 0.625 0.625 0.126
Ag 0.625 0.625 0.625
Pt 0.250 0.250 0.250

Results
formation enthalpy at 0 K	-1.204	eV per formula unit
calculated total energy	-32.73	eV/cell
crystal system	cubic



GdAgPt4: relaxed, PBE.

a b c (Å): 5.374 5.374 5.374
angles (deg): 60.00 60.00 60.00
Atoms (fractional coordinates):
Gd 0.000 0.000 0.000
Ag 0.250 0.250 0.250
Pt 0.126 0.625 0.625
Pt 0.625 0.126 0.625
Pt 0.625 0.625 0.126
Pt 0.625 0.625 0.625

Results
formation enthalpy at 0 K	-4.220	eV per formula unit
calculated total energy	-45.32	eV/cell
crystal system	cubic



GdAgPt: relaxed, PBE.

a b c (Å): 5.276 5.276 5.276
angles (deg): 138.81 138.81 59.66
Atoms (fractional coordinates):
Gd 0.000 0.000 0.000
Ag 0.680 0.680 0.000
Pt 0.351 0.351 0.000

Results
formation enthalpy at 0 K	-2.039	eV per formula unit
distance to the lowest polymorph of the same formula	0.0	meV/atom
calculated total energy	-25.01	eV/cell
crystal system	tetragonal



GdAg2Pt: relaxed, PBE.

a b c (Å): 4.055 4.055 4.905
angles (deg): 90.00 90.00 90.00
Atoms (fractional coordinates):
Gd 0.000 0.000 0.000
Ag 0.000 0.500 0.500
Ag 0.500 0.000 0.500
Pt 0.500 0.500 0.000

Results
formation enthalpy at 0 K	-1.813	eV per formula unit
calculated total energy	-27.64	eV/cell
crystal system	tetragonal



GdPuAgPt: relaxed, PBE.

a b c (Å): 5.074 5.074 5.074
angles (deg): 60.00 60.00 60.00
Atoms (fractional coordinates):
Gd 0.000 0.000 0.000
Pu 0.500 0.500 0.500
Ag 0.750 0.750 0.750
Pt 0.250 0.250 0.250

Results
formation enthalpy at 0 K	-1.987	eV per formula unit
calculated total energy	-39.29	eV/cell
crystal system	cubic



GdScAgPt: relaxed, PBE.

a b c (Å): 4.922 4.922 4.922
angles (deg): 60.00 60.00 60.00
Atoms (fractional coordinates):
Gd 0.000 0.000 0.000
Sc 0.500 0.500 0.500
Ag 0.250 0.250 0.250
Pt 0.750 0.750 0.750

Results
formation enthalpy at 0 K	-2.864	eV per formula unit
calculated total energy	-32.17	eV/cell
crystal system	cubic



SmGdAgPt: relaxed, PBE.

a b c (Å): 5.099 5.099 5.099
angles (deg): 60.00 60.00 60.00
Atoms (fractional coordinates):
Sm 0.000 0.000 0.000
Gd 0.500 0.500 0.500
Ag 0.250 0.250 0.250
Pt 0.750 0.750 0.750

Results
formation enthalpy at 0 K	-2.900	eV per formula unit
calculated total energy	-30.59	eV/cell
crystal system	cubic



GdAgSnPt: relaxed, PBE.

a b c (Å): 4.905 4.905 4.905
angles (deg): 60.00 60.00 60.00
Atoms (fractional coordinates):
Gd 0.000 0.000 0.000
Ag 0.750 0.750 0.750
Sn 0.500 0.500 0.500
Pt 0.250 0.250 0.250

Results
formation enthalpy at 0 K	-2.609	eV per formula unit
calculated total energy	-29.58	eV/cell
crystal system	cubic



SrGdAgPt: relaxed, PBE.

a b c (Å): 5.187 5.187 5.187
angles (deg): 60.00 60.00 60.00
Atoms (fractional coordinates):
Sr 0.000 0.000 0.000
Gd 0.500 0.500 0.500
Ag 0.250 0.250 0.250
Pt 0.750 0.750 0.750

Results
formation enthalpy at 0 K	-2.283	eV per formula unit
calculated total energy	-26.94	eV/cell
crystal system	cubic



GdThAgPt: relaxed, PBE.

a b c (Å): 5.148 5.148 5.148
angles (deg): 60.00 60.00 60.00
Atoms (fractional coordinates):
Gd 0.000 0.000 0.000
Th 0.500 0.500 0.500
Ag 0.250 0.250 0.250
Pt 0.750 0.750 0.750

Results
formation enthalpy at 0 K	-2.454	eV per formula unit
calculated total energy	-32.85	eV/cell
crystal system	cubic



GdTlAgPt: relaxed, PBE.

a b c (Å): 4.951 4.951 4.951
angles (deg): 60.00 60.00 60.00
Atoms (fractional coordinates):
Gd 0.000 0.000 0.000
Tl 0.500 0.500 0.500
Ag 0.250 0.250 0.250
Pt 0.750 0.750 0.750

Results
formation enthalpy at 0 K	-1.878	eV per formula unit
calculated total energy	-27.22	eV/cell
crystal system	cubic



GdTmAgPt: relaxed, PBE.

a b c (Å): 5.016 5.016 5.016
angles (deg): 60.00 60.00 60.00
Atoms (fractional coordinates):
Gd 0.000 0.000 0.000
Tm 0.500 0.500 0.500
Ag 0.750 0.750 0.750
Pt 0.250 0.250 0.250

Results
formation enthalpy at 0 K	-3.112	eV per formula unit
calculated total energy	-30.56	eV/cell
crystal system	cubic